This record from the Alexandria database describes TlPPdO2 after structural relaxation. The functional is PBE.

The energy above the most stable polymorph in this dataset comes out at 3.09 eV/f.u.

```
data_TlPPdO2
_chemical_formula_sum 'Tl1 P1 Pd1 O2'
_cell_length_a 4.024
_cell_length_b 4.024
_cell_length_c 5.879
_cell_angle_alpha 90.00
_cell_angle_beta 90.00
_cell_angle_gamma 90.00
_symmetry_space_group_name_H-M 'P 4/m m m'
_symmetry_Int_Tables_number 123
_symmetry_space_group_name_Hall '-P 4 2'
loop_
_atom_site_label
_atom_site_fract_x
_atom_site_fract_y
_atom_site_fract_z
_atom_site_occupancy
Tl1 0.000 0.000 0.000 1
P1 0.000 0.000 0.500 1
Pd1 0.500 0.500 0.500 1
O1 0.000 0.500 0.000 1
```

This record from the Alexandria database describes TmP2PdO8 after structural relaxation. The functional is PBE.

```
data_TmP2PdO8
_chemical_formula_sum 'Tm2 P4 Pd2 O16'
_cell_length_a 6.929
_cell_length_b 6.929
_cell_length_c 5.989
_cell_angle_alpha 90.00
_cell_angle_beta 90.00
_cell_angle_gamma 90.00
_symmetry_space_group_name_H-M 'I -4 m 2'
_symmetry_Int_Tables_number 119
_symmetry_space_group_name_Hall 'I -4 -2'
loop_
_atom_site_label
_atom_site_fract_x
_atom_site_fract_y
_atom_site_fract_z
_atom_site_occupancy
Tm1 0.000 0.000 0.000 1
P1 0.000 0.000 0.500 1
P2 0.000 0.500 0.750 1
Pd1 0.000 0.500 0.250 1
O1 0.000 0.171 0.332 1
O2 0.000 0.324 0.911 1
```

This record from the Alexandria database describes UPPdO after structural relaxation. The functional is PBE.

```
data_UPPdO
_chemical_formula_sum 'U2 P2 Pd2 O2'
_cell_length_a 3.848
_cell_length_b 3.848
_cell_length_c 8.168
_cell_angle_alpha 90.00
_cell_angle_beta 90.00
_cell_angle_gamma 90.00
_symmetry_space_group_name_H-M 'P 4/n m m'
_symmetry_Int_Tables_number 129
loop_
_symmetry_equiv_pos_as_xyz
'x,y,z'
'-x,-y,-z'
'-y+1/2,x,z'
'y+1/2,-x,-z'
'-x+1/2,-y+1/2,z'
'x+1/2,y+1/2,-z'
'y,-x+1/2,z'
'-y,x+1/2,-z'
'x+1/2,-y,-z'
'-x+1/2,y,z'
'-y,-x,-z'
'y,x,z'
'-x,y+1/2,-z'
'x,-y+1/2,z'
'y+1/2,x+1/2,-z'
'-y+1/2,-x+1/2,z'
loop_
_atom_site_label
_atom_site_fract_x
_atom_site_fract_y
_atom_site_fract_z
_atom_site_occupancy
U1 0.250 0.250 0.160 1
P1 0.250 0.250 0.693 1
Pd1 0.250 0.750 0.500 1
O1 0.250 0.750 0.000 1
```

| no. | size of the total moment (μB/f.u.) | formation energy without anion corrections (eV/atom) |
| --- | --- | --- |
| 1 | 1.3 | 0.739 |
| 2 | 3.0 | -2.023 |
| 3 | 1.1 | -1.673 |